This record from Alexandria describes a relaxed TlCu2Au crystal. The functional is GGA-PBE.

total DFT energy (no corrections): -3.30 eV/atom
ΔE_f: 15 kJ per mole of atoms
space group: Cm
V: 67.3 Å³/cell

Cell: 5.185 5.185 4.678 Å, 72.28 72.28 34.39°
Fractional positions:
Cu 0.724 0.724 0.733
Cu 0.020 0.020 0.030
Au 0.271 0.271 0.190
Tl 0.485 0.485 0.547